# 1
DFT (GGA-PBE) results for an optimized crystal structure of Sm3Zn2Si4.

E_form (uncorrected)   -0.589 eV/atom
Crystal system   monoclinic

Structure (POSCAR):
```
Sm3Zn2Si4
1.0
5.5024 -2.0631 0.0000
5.5024 2.0631 0.0000
-2.8041 0.0000 7.9922
Sm Zn Si
3 2 4
Direct
0.0000 0.0000 0.0000
0.3779 0.3779 0.3092
0.6221 0.6221 0.6908
0.3238 0.3238 0.6720
0.6762 0.6762 0.3280
0.0922 0.0922 0.4051
0.2776 0.2776 0.9429
0.7224 0.7224 0.0571
0.9078 0.9078 0.5949
```

# 2
DFT (GGA-PBE) results for an optimized crystal structure of TlAg3Hg4Cl12.

E_form (uncorrected)   -0.546 eV/atom
Crystal system   trigonal

Structure (POSCAR):
```
TlAg3Hg4Cl12
1.0
7.3981 4.2713 3.3582
-7.3981 4.2713 3.3582
0.0000 -8.5426 3.3582
Tl Ag Hg Cl
1 3 4 12
Direct
0.0000 0.0000 0.0000
0.0000 0.5610 0.4390
0.4390 0.0000 0.5610
0.5610 0.4390 0.0000
0.0638 0.5000 0.9362
0.5000 0.5000 0.5000
0.5000 0.9362 0.0638
0.9362 0.0638 0.5000
0.0525 0.6683 0.7712
0.1021 0.8979 0.5000
0.2288 0.3317 0.9475
0.3317 0.9475 0.2288
0.3338 0.6662 0.5000
0.5000 0.1021 0.8979
0.5000 0.3338 0.6662
0.6662 0.5000 0.3338
0.6683 0.7712 0.0525
0.7712 0.0525 0.6683
0.8979 0.5000 0.1021
0.9475 0.2288 0.3317
```

# 3
DFT (GGA-PBE) results for an optimized crystal structure of TiCr3Cd.

Crystal system   cubic

Structure (POSCAR):
```
TiCr3Cd
1.0
4.3479 0.0000 0.0000
0.0000 4.3479 0.0000
0.0000 0.0000 4.3479
Ti Cr Cd
1 3 1
Direct
0.0000 0.0000 0.0000
0.0000 0.0000 0.5000
0.0000 0.5000 0.0000
0.5000 0.0000 0.0000
0.5000 0.5000 0.5000
```

# 4
DFT (GGA-PBE) results for an optimized crystal structure of TaCr2Ag.

Crystal system   cubic

Structure (POSCAR):
```
TaCr2Ag
1.0
0.0000 3.1299 3.1299
3.1299 0.0000 3.1299
3.1299 3.1299 0.0000
Ta Cr Ag
1 2 1
Direct
0.0000 0.0000 0.0000
0.2500 0.2500 0.2500
0.7500 0.7500 0.7500
0.5000 0.5000 0.5000
```

# 5
DFT (GGA-PBE) results for an optimized crystal structure of Ta2FeSe.

E_form (uncorrected)   0.109 eV/atom
Crystal system   orthorhombic

Structure (POSCAR):
```
Ta2FeSe
1.0
-1.7505 2.3450 3.9219
1.7505 -2.3450 3.9219
1.7505 2.3450 -3.9219
Ta Fe Se
2 1 1
Direct
0.2457 0.2457 0.0000
0.7543 0.7543 0.0000
0.5000 0.0000 0.5000
0.0000 0.5000 0.5000
```

# 6
DFT (GGA-PBE) results for an optimized crystal structure of BaSr2In.

Crystal system   tetragonal

Structure (POSCAR):
```
BaSr2In
1.0
-2.8944 2.8944 4.9880
2.8944 -2.8944 4.9880
2.8944 2.8944 -4.9880
Ba Sr In
1 2 1
Direct
0.0000 0.0000 0.0000
0.2500 0.7500 0.5000
0.7500 0.2500 0.5000
0.5000 0.5000 0.0000
```

# 7
DFT (GGA-PBE) results for an optimized crystal structure of Ho3TmIn4.

Crystal system   tetragonal

Structure (POSCAR):
```
Ho3TmIn4
1.0
3.7396 0.0000 0.0000
0.0000 3.7396 0.0000
0.0000 0.0000 14.9586
Ho Tm In
3 1 4
Direct
0.0000 0.0000 0.0000
0.0000 0.0000 0.2514
0.0000 0.0000 0.7486
0.0000 0.0000 0.5000
0.5000 0.5000 0.1258
0.5000 0.5000 0.3772
0.5000 0.5000 0.6228
0.5000 0.5000 0.8742
```

# 8
DFT (GGA-PBE) results for an optimized crystal structure of HfBeSb2F.

E_form (uncorrected)   -0.317 eV/atom
Crystal system   tetragonal

Structure (POSCAR):
```
HfBeSb2F
1.0
5.5756 0.0000 0.0000
0.0000 5.5756 0.0000
0.0000 0.0000 4.0472
Hf Be Sb F
1 1 2 1
Direct
0.0000 0.0000 0.0000
0.5000 0.5000 0.5000
0.0000 0.5000 0.0000
0.5000 0.0000 0.0000
0.0000 0.0000 0.5000
```

# 9
DFT (GGA-PBE) results for an optimized crystal structure of K5Al3.

Crystal system   hexagonal

Structure (POSCAR):
```
K5Al3
1.0
11.8113 0.0000 0.0000
-5.9057 10.2289 0.0000
0.0000 0.0000 5.6365
K Al
10 6
Direct
0.0000 0.2527 0.2500
0.0000 0.7473 0.7500
0.2527 0.0000 0.2500
0.2527 0.2527 0.7500
0.3333 0.6667 0.0000
0.3333 0.6667 0.5000
0.6667 0.3333 0.0000
0.6667 0.3333 0.5000
0.7473 0.0000 0.7500
0.7473 0.7473 0.2500
0.0000 0.4603 0.7500
0.0000 0.5397 0.2500
0.4603 0.0000 0.7500
0.4603 0.4603 0.2500
0.5397 0.0000 0.2500
0.5397 0.5397 0.7500
```

# 10
DFT (GGA-PBE) results for an optimized crystal structure of CsHf2Mn.

Crystal system   cubic

Structure (POSCAR):
```
CsHf2Mn
1.0
0.0000 5.2684 5.2684
5.2684 0.0000 5.2684
5.2684 5.2684 0.0000
Cs Hf Mn
2 4 2
Direct
0.1250 0.1250 0.1250
0.8750 0.8750 0.8750
0.0000 0.5000 0.5000
0.5000 0.0000 0.5000
0.5000 0.5000 0.0000
0.5000 0.5000 0.5000
0.3750 0.3750 0.3750
0.6250 0.6250 0.6250
```

# 11
DFT (GGA-PBE) results for an optimized crystal structure of La3InGa2.

Crystal system   tetragonal

Structure (POSCAR):
```
La3InGa2
1.0
3.8093 0.0000 0.0000
0.0000 3.8093 0.0000
0.0000 0.0000 11.6629
La In Ga
3 1 2
Direct
0.0000 0.0000 0.0000
0.0000 0.0000 0.3191
0.0000 0.0000 0.6809
0.5000 0.5000 0.5000
0.5000 0.5000 0.1600
0.5000 0.5000 0.8400
```

# 12
DFT (GGA-PBE) results for an optimized crystal structure of Cs2Te2H.

Crystal system   orthorhombic

Structure (POSCAR):
```
Cs2Te2H
1.0
3.6425 -5.0407 0.0000
3.6425 5.0407 0.0000
0.0000 0.0000 5.0398
Cs Te H
2 2 1
Direct
0.2418 0.7582 0.0000
0.7582 0.2418 0.0000
0.2712 0.2712 0.5000
0.7288 0.7288 0.5000
0.0000 0.0000 0.5000
```

# 13
DFT (GGA-PBE) results for an optimized crystal structure of MgHPt2Rh.

Crystal system   tetragonal

Structure (POSCAR):
```
MgHPt2Rh
1.0
4.0045 0.0000 0.0000
0.0000 4.0045 0.0000
0.0000 0.0000 3.9932
Mg H Pt Rh
1 1 2 1
Direct
0.0000 0.0000 0.0000
0.5000 0.5000 0.5000
0.0000 0.5000 0.5000
0.5000 0.0000 0.5000
0.5000 0.5000 0.0000
```

# 14
DFT (GGA-PBE) results for an optimized crystal structure of KYRe2.

Crystal system   orthorhombic

Structure (POSCAR):
```
KYRe2
1.0
1.6526 -2.4334 0.0000
1.6526 2.4334 0.0000
0.0000 0.0000 11.0786
K Y Re
1 1 2
Direct
0.0000 0.0000 0.0000
0.5000 0.5000 0.6594
0.0000 0.0000 0.4409
0.5000 0.5000 0.2664
```

# 15
DFT (GGA-PBE) results for an optimized crystal structure of AcTbMnN4.

E_form (uncorrected)   -0.938 eV/atom
Crystal system   monoclinic

Structure (POSCAR):
```
AcTbMnN4
1.0
5.6456 0.0000 0.0000
0.0000 5.5580 0.0000
-2.2371 0.0000 6.7521
Ac Tb Mn N
2 2 2 8
Direct
0.2145 0.2500 0.4276
0.7855 0.7500 0.5724
0.2912 0.2500 0.9571
0.7088 0.7500 0.0429
0.2611 0.7500 0.1821
0.7389 0.2500 0.8179
0.0728 0.7500 0.3371
0.0857 0.7500 0.9403
0.4665 0.5070 0.2329
0.4665 0.9930 0.2329
0.5335 0.0070 0.7671
0.5335 0.4930 0.7671
0.9143 0.2500 0.0597
0.9272 0.2500 0.6629
```

# 16
DFT (GGA-PBE) results for an optimized crystal structure of HoTiAl2.

Crystal system   tetragonal

Structure (POSCAR):
```
HoTiAl2
1.0
3.4429 0.0000 0.0000
0.0000 3.4429 0.0000
0.0000 0.0000 6.5758
Ho Ti Al
1 1 2
Direct
0.0000 0.0000 0.0000
0.0000 0.0000 0.5000
0.5000 0.5000 0.2936
0.5000 0.5000 0.7064
```

# 17
DFT (GGA-PBE) results for an optimized crystal structure of SmBe2H8.

Crystal system   monoclinic

Structure (POSCAR):
```
SmBe2H8
1.0
3.8556 -2.0611 0.0000
3.8556 2.0611 0.0000
-2.1964 0.0000 5.3570
Sm Be H
1 2 8
Direct
0.0000 0.0000 0.0000
0.2421 0.2421 0.6726
0.7579 0.7579 0.3274
0.0677 0.5475 0.1852
0.1421 0.1421 0.4111
0.4434 0.4434 0.7919
0.4525 0.9323 0.8148
0.5475 0.0677 0.1852
0.5566 0.5566 0.2081
0.8579 0.8579 0.5889
0.9323 0.4525 0.8148
```

# 18
DFT (GGA-PBE) results for an optimized crystal structure of Ce2PmNi.

Crystal system   trigonal

Structure (POSCAR):
```
Ce2PmNi
1.0
1.7789 1.0271 10.0892
-1.7789 1.0271 10.0892
0.0000 -2.0541 10.0892
Ce Pm Ni
2 1 1
Direct
0.1069 0.1069 0.1069
0.8931 0.8931 0.8931
0.0000 0.0000 0.0000
0.5000 0.5000 0.5000
```

# 19
DFT (GGA-PBE) results for an optimized crystal structure of Ti2HI.

Crystal system   cubic

Structure (POSCAR):
```
Ti2HI
1.0
0.0000 3.1816 3.1816
3.1816 0.0000 3.1816
3.1816 3.1816 0.0000
Ti H I
2 1 1
Direct
0.2500 0.2500 0.2500
0.7500 0.7500 0.7500
0.0000 0.0000 0.0000
0.5000 0.5000 0.5000
```

# 20
DFT (GGA-PBE) results for an optimized crystal structure of Sc5PaAs4.

Crystal system   monoclinic

Structure (POSCAR):
```
Sc5PaAs4
1.0
8.3698 -1.9588 0.0000
8.3698 1.9588 0.0000
-2.0794 0.0000 7.3101
Sc Pa As
5 1 4
Direct
0.0000 0.0000 0.0000
0.3243 0.3243 0.1551
0.3393 0.3393 0.6608
0.6607 0.6607 0.3392
0.6757 0.6757 0.8449
0.0000 0.0000 0.5000
0.1759 0.1759 0.5993
0.4914 0.4914 0.2285
0.5086 0.5086 0.7715
0.8241 0.8241 0.4007
```

# 21
DFT (GGA-PBE) results for an optimized crystal structure of TlOsPd2.

Crystal system   tetragonal

Structure (POSCAR):
```
TlOsPd2
1.0
-1.9778 1.9778 9.3898
1.9778 -1.9778 9.3898
1.9778 1.9778 -9.3898
Tl Os Pd
2 2 4
Direct
0.0000 0.0000 0.0000
0.7500 0.2500 0.5000
0.2500 0.7500 0.5000
0.5000 0.5000 0.0000
0.1437 0.6250 0.0187
0.3750 0.3937 0.5187
0.6063 0.1250 0.9813
0.8750 0.8563 0.4813
```

# 22
DFT (GGA-PBE) results for an optimized crystal structure of ZnAgPt2.

Crystal system   trigonal

Structure (POSCAR):
```
ZnAgPt2
1.0
1.4248 0.8226 8.9510
-1.4248 0.8226 8.9510
0.0000 -1.6452 8.9510
Zn Ag Pt
1 1 2
Direct
0.0000 0.0000 0.0000
0.1668 0.1668 0.1668
0.4099 0.4099 0.4099
0.5901 0.5901 0.5901
```

# 23
DFT (GGA-PBE) results for an optimized crystal structure of Cs4PrNp3Se8.

E_form (uncorrected)   -1.348 eV/atom
Crystal system   trigonal

Structure (POSCAR):
```
Cs4PrNp3Se8
1.0
4.3603 2.5174 8.3759
-4.3603 2.5174 8.3759
0.0000 -5.0348 8.3759
Cs Pr Np Se
4 1 3 8
Direct
0.0000 0.0000 0.0000
0.0000 0.5000 0.5000
0.5000 0.0000 0.5000
0.5000 0.5000 0.0000
0.5000 0.5000 0.5000
0.0000 0.0000 0.5000
0.0000 0.5000 0.0000
0.5000 0.0000 0.0000
0.2232 0.7324 0.7324
0.2275 0.2275 0.2275
0.2676 0.2676 0.7768
0.2676 0.7768 0.2676
0.7324 0.2232 0.7324
0.7324 0.7324 0.2232
0.7725 0.7725 0.7725
0.7768 0.2676 0.2676
```

# 24
DFT (GGA-PBE) results for an optimized crystal structure of LaTi.

Crystal system   tetragonal

Structure (POSCAR):
```
LaTi
1.0
-6.5055 6.5055 1.5677
6.5055 -6.5055 1.5677
6.5055 6.5055 -1.5677
La Ti
4 4
Direct
0.0583 0.6712 0.7295
0.3288 0.0583 0.3870
0.6712 0.9417 0.6130
0.9417 0.3288 0.2705
0.1674 0.2280 0.3954
0.2280 0.8326 0.0606
0.7720 0.1674 0.9394
0.8326 0.7720 0.6046
```

# 25
DFT (GGA-PBE) results for an optimized crystal structure of CeGdNi2.

Crystal system   cubic

Structure (POSCAR):
```
CeGdNi2
1.0
0.0000 3.4164 3.4164
3.4164 0.0000 3.4164
3.4164 3.4164 0.0000
Ce Gd Ni
1 1 2
Direct
0.0000 0.0000 0.0000
0.5000 0.5000 0.5000
0.2500 0.2500 0.2500
0.7500 0.7500 0.7500
```

no.,ρ (Mg/m³),size of the total moment (μB per cell),E (eV for the cell shown)
1,6.35,0.000,-43.69
2,4.58,0.000,-45.21
3,6.39,0.000,-30.68
4,10.64,3.831,-31.84
5,12.81,1.585,-35.22
6,4.25,0.007,-8.48
7,8.91,0.000,-32.73
8,5.94,0.000,-25.38
9,1.35,0.000,-27.52
10,6.19,0.001,-50.50
11,6.58,0.000,-26.87
12,4.68,0.000,-14.29
13,13.44,0.000,-26.21
14,9.33,0.000,-28.96
15,7.79,1.904,-115.56
16,5.68,0.513,-21.22
17,3.44,0.000,-39.49
18,7.27,1.938,-21.88
19,5.77,0.000,-18.49
20,5.23,0.002,-68.92
21,13.73,1.966,-41.83
22,14.86,0.000,-17.22
23,6.07,12.000,-96.47
24,4.67,0.000,-45.63
25,8.64,7.421,-32.68